Entry 1:
Entry from Alexandria: a relaxed KY3Be crystal (GGA-PBE).

a b c (Å): 5.3393 5.3393 5.3393
angles (deg): 90.00 90.00 90.00
Positions (direct):
Y (0.0000, 0.5000, 0.0000)
Y (0.0000, 0.0000, 0.5000)
Y (0.5000, 0.0000, 0.0000)
Be (0.5000, 0.5000, 0.5000)
K (0.0000, 0.0000, 0.0000)

* ΔE_f: 1.65 eV/atom
* mass density: 3.4 Mg/m³
* distance to the lowest polymorph of the same formula: 1.211 eV/atom
* SG: Pm-3m, No. 221

***

Entry 2:
Entry from Alexandria: a relaxed HfTl2I4Br2 crystal (GGA-PBE).

a b c (Å): 8.0899 8.0052 8.0052
angles (deg): 61.67 59.64 59.64
Positions (direct):
Hf (0.5000, 0.0000, 0.0000)
Tl (0.2653, 0.7555, 0.7555)
Tl (0.7347, 0.2445, 0.2445)
I (0.3051, 0.7048, 0.1989)
I (0.6949, 0.8011, 0.2952)
I (0.6949, 0.2952, 0.8011)
I (0.3051, 0.1989, 0.7048)
Br (0.1891, 0.2249, 0.2249)
Br (0.8109, 0.7751, 0.7751)

* mass density: 5.6 Mg/m³
* SG: C2/m, No. 12
* uncorrected formation energy: -8.376 eV/f.u.

***

Entry 3:
Entry from Alexandria: a relaxed Cs2HgPd2 crystal (GGA-PBE).

a b c (Å): 7.3720 7.3720 5.6444
angles (deg): 90.00 90.00 90.00
Positions (direct):
Cs (0.1820, 0.6820, 0.5000)
Cs (0.6820, 0.8180, 0.5000)
Cs (0.8180, 0.3180, 0.5000)
Cs (0.3180, 0.1820, 0.5000)
Hg (0.0000, 0.0000, 0.0000)
Hg (0.5000, 0.5000, 0.0000)
Pd (0.3691, 0.8691, 0.0000)
Pd (0.8691, 0.6309, 0.0000)
Pd (0.6309, 0.1309, 0.0000)
Pd (0.1309, 0.3691, 0.0000)

* ΔE_f: 0.02 eV/atom
* mass density: 7.4 Mg/m³
* distance to the lowest polymorph of the same formula: 0.199 eV/atom
* SG: P4/mbm, No. 127

***

Entry 4:
Entry from Alexandria: a relaxed RbUTlTe3 crystal (GGA-PBE).

a b c (Å): 4.5816 10.0404 10.8005
angles (deg): 102.32 90.00 90.00
Last column: magnetic moment on the atom in μB.
Positions (direct):
Rb (0.2500, 0.1790, 0.2200)  0.00
Rb (0.7500, 0.8210, 0.7800)  0.00
U (0.2500, 0.6450, 0.1565)  -2.24
U (0.7500, 0.3550, 0.8435)  -2.24
Tl (0.2500, 0.1266, 0.5506)  0.01
Tl (0.7500, 0.8734, 0.4494)  0.01
Te (0.7500, 0.8560, 0.1551)  0.06
Te (0.2500, 0.1440, 0.8449)  0.06
Te (0.2500, 0.6529, 0.4303)  0.08
Te (0.7500, 0.3471, 0.5697)  0.08
Te (0.7500, 0.4329, 0.1370)  0.08
Te (0.2500, 0.5671, 0.8630)  0.08

* mass density: 6.2 Mg/m³
* SG: P2_1/m, No. 11
* uncorrected formation energy: -4.034 eV/f.u.

***

Entry 5:
Entry from Alexandria: a relaxed LaMgCu crystal (GGA-PBE).

a b c (Å): 4.1463 7.7395 7.7395
angles (deg): 120.00 90.00 90.00
Positions (direct):
Mg (0.5000, 0.0000, 0.2352)
Mg (0.5000, 0.2352, 0.0000)
Mg (0.5000, 0.7648, 0.7648)
Cu (0.5000, 0.6667, 0.3333)
Cu (0.0000, 0.0000, 0.0000)
Cu (0.5000, 0.3333, 0.6667)
La (0.0000, 0.0000, 0.5825)
La (0.0000, 0.4175, 0.4175)
La (0.0000, 0.5825, 0.0000)

* ΔE_f: -0.19 eV/atom
* mass density: 5.3 Mg/m³
* SG: P-62m, No. 189

***

Entry 6:
Entry from Alexandria: a relaxed CsRuI2 crystal (GGA-PBE).

a b c (Å): 8.7171 8.7171 7.3650
angles (deg): 53.72 53.72 90.00
Last column: magnetic moment on the atom in μB.
Positions (direct):
Cs (0.0000, 0.0000, 0.0000)  0.00
Cs (0.7500, 0.2500, 0.5000)  0.00
I (0.5057, 0.1250, 0.2500)  0.06
I (0.2443, 0.6250, 0.2500)  0.06
I (0.3750, 0.4943, 0.7500)  0.06
I (0.8750, 0.7557, 0.7500)  0.06
Ru (0.5000, 0.5000, 0.0000)  1.10
Ru (0.2500, 0.7500, 0.5000)  1.10

* mass density: 5.3 Mg/m³
* distance to the lowest polymorph of the same formula: 0.000 eV/atom
* SG: I-42d, No. 122
* uncorrected formation energy: -0.736 eV/f.u.